# 1
! PBE Pm4CoPt2, optimized geometry; values from VASP
! DFT formation energy, eV per atom: -0.65
! Energy above the lowest structure with this stoichiometry, eV per formula unit: 0.00
! Calculated total energy, eV/atom: -6.10
&SYSTEM
  ibrav = 0, nat = 7, ntyp = 3
/
ATOMIC_SPECIES
Pm 145.00 Pm.upf
Co 58.93 Co.upf
Pt 195.08 Pt.upf
CELL_PARAMETERS angstrom
6.991 -2.246 0.000
6.991 2.246 0.000
-1.731 0.000 5.748
ATOMIC_POSITIONS crystal
Pm 0.087 0.087 0.274
Pm 0.347 0.347 0.204
Pm 0.653 0.653 0.796
Pm 0.913 0.913 0.726
Co 0.500 0.500 0.000
Pt 0.273 0.273 0.688
Pt 0.727 0.727 0.312

---

# 2
! PBE Cd2IrBr, optimized geometry; values from VASP
! Energy above the lowest structure with this stoichiometry, eV per formula unit: 0.16
! E_form (uncorrected), meV/atom: 59
! Calculated total energy, eV/atom: -3.03
&SYSTEM
  ibrav = 0, nat = 4, ntyp = 3
/
ATOMIC_SPECIES
Cd 112.41 Cd.upf
Ir 192.22 Ir.upf
Br 79.90 Br.upf
CELL_PARAMETERS angstrom
3.304 0.000 0.000
0.000 3.304 0.000
0.000 0.000 7.683
ATOMIC_POSITIONS crystal
Cd 0.000 0.000 0.210
Cd 0.000 0.000 0.790
Ir 0.500 0.500 0.000
Br 0.500 0.500 0.500

---

# 3
! PBE YHo2Ni, optimized geometry; values from VASP
! DFT formation energy, eV per atom: -0.25
! Energy above the lowest structure with this stoichiometry, eV per formula unit: 0.00
! Calculated total energy, eV/atom: -5.60
&SYSTEM
  ibrav = 0, nat = 16, ntyp = 3
/
ATOMIC_SPECIES
Y 88.91 Y.upf
Ho 164.93 Ho.upf
Ni 58.69 Ni.upf
CELL_PARAMETERS angstrom
6.842 0.000 0.000
0.000 9.563 0.000
0.000 0.000 6.302
ATOMIC_POSITIONS crystal
Y 0.032 0.250 0.138
Y 0.468 0.750 0.638
Y 0.532 0.250 0.362
Y 0.968 0.750 0.862
Ho 0.179 0.066 0.678
Ho 0.179 0.434 0.678
Ho 0.321 0.566 0.178
Ho 0.321 0.934 0.178
Ho 0.679 0.066 0.822
Ho 0.679 0.434 0.822
Ho 0.821 0.566 0.322
Ho 0.821 0.934 0.322
Ni 0.108 0.750 0.440
Ni 0.392 0.250 0.940
Ni 0.608 0.750 0.060
Ni 0.892 0.250 0.560

---

# 4
! PBE SrRe2Ir, optimized geometry; values from VASP
! DFT formation energy, eV per atom: 0.88
! Energy above the lowest structure with this stoichiometry, eV per formula unit: 1.75
! Calculated total energy, eV/atom: -7.98
&SYSTEM
  ibrav = 0, nat = 4, ntyp = 3
/
ATOMIC_SPECIES
Sr 87.62 Sr.upf
Re 186.21 Re.upf
Ir 192.22 Ir.upf
CELL_PARAMETERS angstrom
2.867 0.000 0.000
0.000 5.035 0.000
-0.448 0.000 5.002
ATOMIC_POSITIONS crystal
Sr 0.000 0.000 0.000
Re 0.331 0.500 0.735
Re 0.669 0.500 0.265
Ir 0.500 0.000 0.500

---

# 5
! PBE Nd2Te2Cl, optimized geometry; values from VASP
! Energy above the lowest structure with this stoichiometry, eV per formula unit: 0.00
! E_form (uncorrected), meV/atom: -1633
! Calculated total energy, eV/atom: -5.17
&SYSTEM
  ibrav = 0, nat = 10, ntyp = 3
/
ATOMIC_SPECIES
Nd 144.24 Nd.upf
Te 127.60 Te.upf
Cl 35.45 Cl.upf
CELL_PARAMETERS angstrom
6.325 0.000 0.000
0.000 4.408 0.000
-1.074 0.000 13.085
ATOMIC_POSITIONS crystal
Nd 0.205 0.250 0.233
Nd 0.265 0.250 0.589
Nd 0.735 0.750 0.411
Nd 0.795 0.750 0.767
Te 0.235 0.750 0.410
Te 0.295 0.750 0.764
Te 0.705 0.250 0.236
Te 0.765 0.250 0.590
Cl 0.185 0.750 0.105
Cl 0.815 0.250 0.895

---

# 6
! PBE Pr5MgSn3, optimized geometry; values from VASP
! DFT formation energy, eV per atom: -0.61
! Calculated total energy, eV/atom: -4.77
&SYSTEM
  ibrav = 0, nat = 18, ntyp = 3
/
ATOMIC_SPECIES
Pr 140.91 Pr.upf
Mg 24.30 Mg.upf
Sn 118.71 Sn.upf
CELL_PARAMETERS angstrom
9.704 0.000 0.000
-4.852 8.404 0.000
0.000 0.000 6.693
ATOMIC_POSITIONS crystal
Pr 0.000 0.296 0.250
Pr 0.000 0.704 0.750
Pr 0.296 0.000 0.250
Pr 0.296 0.296 0.750
Pr 0.333 0.667 0.000
Pr 0.333 0.667 0.500
Pr 0.667 0.333 0.000
Pr 0.667 0.333 0.500
Pr 0.704 0.000 0.750
Pr 0.704 0.704 0.250
Mg 0.000 0.000 0.000
Mg 0.000 0.000 0.500
Sn 0.000 0.362 0.750
Sn 0.000 0.638 0.250
Sn 0.362 0.000 0.750
Sn 0.362 0.362 0.250
Sn 0.638 0.000 0.250
Sn 0.638 0.638 0.750

---

# 7
! PBE ZnAuF2, optimized geometry; values from VASP
! Energy above the lowest structure with this stoichiometry, eV per formula unit: 0.00
! E_form (uncorrected), meV/atom: -1491
! Calculated total energy, eV/atom: -3.56
&SYSTEM
  ibrav = 0, nat = 4, ntyp = 3
/
ATOMIC_SPECIES
Zn 65.41 Zn.upf
Au 196.97 Au.upf
F 19.00 F.upf
CELL_PARAMETERS angstrom
1.493 0.862 9.191
-1.493 0.862 9.191
0.000 -1.724 9.191
ATOMIC_POSITIONS crystal
Zn 0.000 0.000 0.000
Au 0.500 0.500 0.500
F 0.373 0.373 0.373
F 0.627 0.627 0.627

---

# 8
! PBE Sc6InCo2, optimized geometry; values from VASP
! DFT formation energy, eV per atom: -0.33
! Calculated total energy, eV/atom: -6.43
&SYSTEM
  ibrav = 0, nat = 18, ntyp = 3
/
ATOMIC_SPECIES
Sc 44.96 Sc.upf
In 114.82 In.upf
Co 58.93 Co.upf
CELL_PARAMETERS angstrom
-4.414 4.433 4.667
4.414 -4.433 4.667
4.414 4.433 -4.667
ATOMIC_POSITIONS crystal
Sc 0.019 0.235 0.783
Sc 0.191 0.285 0.476
Sc 0.191 0.715 0.906
Sc 0.313 0.015 0.702
Sc 0.313 0.611 0.298
Sc 0.452 0.235 0.217
Sc 0.548 0.765 0.783
Sc 0.687 0.389 0.702
Sc 0.687 0.985 0.298
Sc 0.809 0.285 0.094
Sc 0.809 0.715 0.524
Sc 0.981 0.765 0.217
In 0.000 0.000 0.000
In 0.500 0.500 0.000
Co 0.118 0.618 0.500
Co 0.369 0.000 0.369
Co 0.631 0.000 0.631
Co 0.882 0.382 0.500

---

- Among the records above, which one has the lowest calculated total energy?
  SrRe2Ir